1.
KCd2AsPb | GGA-PBEsol | relaxed

Structure (extended XYZ):
```
5
Lattice="5.523 0.000 0.000 0.000 5.714 0.000 0.000 0.000 5.714" Properties=species:S:1:pos:R:3 pbc="T T T"
Pb 0.000 0.000 0.000
As 2.761 0.000 0.000
K 2.761 2.857 2.857
Cd 0.000 0.000 2.857
Cd 0.000 2.857 0.000
```

Output
SG	P4/mmm
energy relative to the elements	0.317	eV/atom

---

2.
Na3RhF6 | GGA-PBEsol | relaxed

Structure (extended XYZ):
```
10
Lattice="5.793 0.000 0.000 2.897 5.017 0.000 2.897 1.672 4.730" Properties=species:S:1:pos:R:3 pbc="T T T"
Na 2.897 1.672 1.183
Na 8.690 5.017 3.548
Na 5.793 3.345 2.365
Rh 0.000 0.000 0.000
F 7.304 4.217 1.131
F 5.793 5.090 3.599
F 4.282 2.472 3.599
F 7.304 2.472 3.599
F 4.282 4.217 1.131
F 5.793 1.600 1.131
```

Output
SG	Fm-3m
energy relative to the elements, uncorrected	-2235	meV/atom